# 1
VASP calculation (PBE) on a relaxed Cs2NaPtBr crystal.

Summary:
Offset from the most stable computed form in meV per atom: 0
Space group: P4/mmm
Uncorrected energy in eV per atom: -2.72
Formation energy from raw total energies in meV per atom: -575.4

Cell: 6.6215 6.6215 5.4188 Å, 90.00 90.00 90.00°
Closest atoms and distances in Å follow each position.
Positions (direct):
Cs 0.0000 0.5000 0.0000  2 Pt 3.31
Cs 0.5000 0.0000 0.0000  2 Pt 3.31
Na 0.0000 0.0000 0.5000  2 Pt 2.71
Br 0.5000 0.5000 0.5000  8 Cs 4.28, 4 Na 4.68
Pt 0.0000 0.0000 0.0000  2 Na 2.71


# 2
VASP calculation (PBE) on a relaxed Tb3Pr4ThSe8 crystal.

Summary:
Space group: R-3m
Uncorrected energy in eV per atom: -6.04
DOS at the Fermi energy in states/eV/f.u.: 10.1
Formation energy from raw total energies in meV per atom: -1775.1

Cell: 8.3645 8.4237 8.3654 Å, 119.78 120.00 90.00°
Closest atoms and distances in Å follow each position.
Positions (direct):
Tb 0.5000 0.5000 0.0000  6 Se 2.90-2.91
Tb 0.5000 0.5000 0.5000  6 Se 2.90-2.91
Tb 0.0000 0.5000 0.5000  6 Se 2.90-2.91
Pr 0.5000 0.0000 0.0000  6 Se 2.99
Pr 0.5000 0.0000 0.5000  6 Se 3.03
Pr 0.0000 0.0000 0.0000  6 Se 3.03-3.04
Pr 0.0000 0.0000 0.5000  6 Se 3.03
Th 0.0000 0.5000 0.0000  6 Se 2.95
Se 0.2482 0.7379 0.9894  2 Tb 2.91, 1 Th 2.95, 3 Pr 2.99-3.03
Se 0.2484 0.7374 0.4968  2 Tb 2.90, 1 Th 2.95, 3 Pr 2.99-3.03
Se 0.2556 0.2659 0.5112  3 Tb 2.90-2.91, 3 Pr 3.03-3.04
Se 0.7413 0.7379 0.9894  2 Tb 2.91, 1 Th 2.95, 3 Pr 2.99-3.03
Se 0.2587 0.2621 0.0106  2 Tb 2.91, 1 Th 2.95, 3 Pr 2.99-3.03
Se 0.7444 0.7341 0.4888  3 Tb 2.90-2.91, 3 Pr 3.03-3.04
Se 0.7516 0.2626 0.5032  2 Tb 2.90, 1 Th 2.95, 3 Pr 2.99-3.03
Se 0.7518 0.2621 0.0106  2 Tb 2.91, 1 Th 2.95, 3 Pr 2.99-3.03